P:
# La2Si2Cl (PBE, optimized geometry)
data_La2Si2Cl
_chemical_formula_sum 'La4 Si4 Cl2'
_cell_length_a 8.083
_cell_length_b 8.083
_cell_length_c 4.134
_cell_angle_alpha 90.00
_cell_angle_beta 90.00
_cell_angle_gamma 90.00
_symmetry_space_group_name_H-M 'P 4/m b m'
_symmetry_Int_Tables_number 127
_symmetry_space_group_name_Hall '-P 4 2ab'
loop_
_atom_site_label
_atom_site_fract_x
_atom_site_fract_y
_atom_site_fract_z
La1 0.186 0.314 0.000
Si1 0.101 0.601 0.500
Cl1 0.000 0.000 0.000
# **Mass density**: 4.54 g/cm3

Q:
# La2Si2Cl (PBE, optimized geometry)
data_La2Si2Cl
_chemical_formula_sum 'La6 Si6 Cl3'
_cell_length_a 4.1582
_cell_length_b 4.1582
_cell_length_c 24.4426
_cell_angle_alpha 90.00
_cell_angle_beta 90.00
_cell_angle_gamma 120.00
_symmetry_space_group_name_H-M 'R -3 m'
_symmetry_Int_Tables_number 166
_symmetry_space_group_name_Hall '-R 3 2"'
loop_
_atom_site_label
_atom_site_fract_x
_atom_site_fract_y
_atom_site_fract_z
La1 0.0000 0.0000 0.0797
Si1 0.0000 0.0000 0.3327
Cl1 0.0000 0.0000 0.5000
# **Mass density**: 5.03 g/cm3

We find Q to be the most stable, with the next structure 97 meV/atom higher.

P:
# LaSmCl6 (PBE, optimized geometry)
data_LaSmCl6
_chemical_formula_sum 'La2 Sm2 Cl12'
_cell_length_a 7.002
_cell_length_b 12.267
_cell_length_c 7.550
_cell_angle_alpha 90.00
_cell_angle_beta 96.61
_cell_angle_gamma 90.00
_symmetry_space_group_name_H-M 'C 1 2/m 1'
_symmetry_Int_Tables_number 12
loop_
_symmetry_equiv_pos_as_xyz
'x,y,z'
'-x,-y,-z'
'-x,y,-z'
'x,-y,z'
'x+1/2,y+1/2,z'
'-x+1/2,-y+1/2,-z'
'-x+1/2,y+1/2,-z'
'x+1/2,-y+1/2,z'
loop_
_atom_site_label
_atom_site_fract_x
_atom_site_fract_y
_atom_site_fract_z
La1 0.000 0.000 0.000
Sm1 0.000 0.000 0.500
Cl1 0.146 0.144 0.274
Cl2 0.207 0.500 0.228
# **Mass density**: 2.59 g/cm3

Q:
# LaSmCl6 (PBE, optimized geometry)
data_LaSmCl6
_chemical_formula_sum 'La3 Sm3 Cl18'
_cell_length_a 6.9368
_cell_length_b 6.9368
_cell_length_c 19.2372
_cell_angle_alpha 90.00
_cell_angle_beta 90.00
_cell_angle_gamma 120.00
_symmetry_space_group_name_H-M 'R -3'
_symmetry_Int_Tables_number 148
_symmetry_space_group_name_Hall '-R 3'
loop_
_atom_site_label
_atom_site_fract_x
_atom_site_fract_y
_atom_site_fract_z
La1 0.0000 0.0000 0.0000
Sm1 0.0000 0.0000 0.5000
Cl1 0.0062 0.6514 0.2486
# **Mass density**: 3.12 g/cm3

We find Q to be the most stable, with the next structure 49 meV/atom higher.

P:
# LaSmCl2 (PBE, optimized geometry)
data_LaSmCl2
_chemical_formula_sum 'La3 Sm3 Cl6'
_cell_length_a 4.6340
_cell_length_b 4.6340
_cell_length_c 22.0993
_cell_angle_alpha 90.00
_cell_angle_beta 90.00
_cell_angle_gamma 120.00
_symmetry_space_group_name_H-M 'R -3 m'
_symmetry_Int_Tables_number 166
_symmetry_space_group_name_Hall '-R 3 2"'
loop_
_atom_site_label
_atom_site_fract_x
_atom_site_fract_y
_atom_site_fract_z
La1 0.0000 0.0000 0.0000
Sm1 0.0000 0.0000 0.5000
Cl1 0.0000 0.0000 0.1272
# **Mass density**: 4.37 g/cm3

Q:
# LaSmCl2 (PBE, optimized geometry)
data_LaSmCl2
_chemical_formula_sum 'La3 Sm3 Cl6'
_cell_length_a 3.5990
_cell_length_b 3.5990
_cell_length_c 26.8187
_cell_angle_alpha 90.00
_cell_angle_beta 90.00
_cell_angle_gamma 120.00
_symmetry_space_group_name_H-M 'R 3 m'
_symmetry_Int_Tables_number 160
_symmetry_space_group_name_Hall 'R 3 -2"'
loop_
_atom_site_label
_atom_site_fract_x
_atom_site_fract_y
_atom_site_fract_z
La1 0.0000 0.0000 0.0000
Sm1 0.0000 0.0000 0.8346
Cl1 0.0000 0.0000 0.2481
Cl2 0.0000 0.0000 0.4208
# **Mass density**: 5.96 g/cm3

We find Q to be the most stable, with the next structure 269 meV/atom higher.